(1)
A plane-wave DFT calculation with GGA-PBE was carried out for a relaxed ZrBi crystal.

```
ZrBi
1.0
-7.486 2.238 4.638
3.449 -3.898 7.448
3.824 7.897 2.362
Zr Bi
8 8
Direct
0.125 0.125 0.125 Zr
0.125 0.875 0.875 Zr
0.875 0.125 0.875 Zr
0.875 0.875 0.125 Zr
0.625 0.625 0.625 Zr
0.625 0.375 0.375 Zr
0.375 0.625 0.375 Zr
0.375 0.375 0.625 Zr
0.312 0.312 0.312 Bi
0.312 0.688 0.688 Bi
0.688 0.312 0.688 Bi
0.688 0.688 0.312 Bi
0.812 0.812 0.812 Bi
0.812 0.188 0.188 Bi
0.188 0.812 0.188 Bi
0.188 0.188 0.812 Bi
```

Summary:
raw total energy	-5.94	eV/atom
density	5.3	g/cm3
crystal system	cubic
space-group type	No. 217

(2)
A plane-wave DFT calculation with GGA-PBE was carried out for a relaxed DyInSi2Pt5 crystal.

```
DyInSi2Pt5
1.0
3.977 0.000 0.000
0.000 3.977 0.000
0.000 0.000 11.625
Dy In Si Pt
1 1 2 5
Direct
0.000 0.000 0.000 Dy
0.000 0.000 0.500 In
0.500 0.500 0.297 Si
0.500 0.500 0.703 Si
0.000 0.500 0.185 Pt
0.500 0.000 0.185 Pt
0.000 0.500 0.815 Pt
0.500 0.000 0.815 Pt
0.500 0.500 0.500 Pt
```

Summary:
raw total energy	-6.11	eV/atom
density	11.8	g/cm3
crystal system	tetragonal
space-group type	No. 123

(3)
A plane-wave DFT calculation with GGA-PBE was carried out for a relaxed In2Pb5 crystal.

```
In2Pb5
1.0
-2.585 -4.906 1.057
3.010 -4.474 1.671
-0.829 -1.026 8.284
In Pb
2 5
Direct
0.641 0.641 0.076 In
0.359 0.359 0.924 In
0.073 0.073 0.781 Pb
0.782 0.782 0.655 Pb
0.500 0.500 0.500 Pb
0.218 0.218 0.345 Pb
0.927 0.927 0.219 Pb
```

Summary:
density	9.9	g/cm3
crystal system	trigonal
ΔE to the lowest computed polymorph	0.025	eV per atom
space-group type	No. 166

(4)
A plane-wave DFT calculation with GGA-PBE was carried out for a relaxed Ac5DySi4 crystal.

```
Ac5DySi4
1.0
-3.069 0.413 -3.290
-4.543 -5.912 3.495
-0.766 9.269 4.982
Ac Dy Si
5 1 4
Direct
0.838 0.588 0.676 Ac
0.838 0.088 0.676 Ac
0.162 0.912 0.324 Ac
0.500 0.500 0.000 Ac
0.162 0.412 0.324 Ac
0.500 0.000 0.000 Dy
0.306 0.806 0.613 Si
0.000 0.770 0.000 Si
0.694 0.194 0.387 Si
0.000 0.230 0.000 Si
```

Summary:
raw total energy	-5.04	eV/atom
density	6.7	g/cm3
crystal system	orthorhombic
space-group type	No. 71